The following is a DFT calculation (GGA-PBE) of a relaxed structure of ZrMnNi2.

a b c (Å): 6.1560 6.1560 6.1560
angles (deg): 90.00 90.00 90.00
Space group Fm-3m (No. 225)
Inequivalent atoms, fractional coordinates:
Zr 0.0000 0.0000 0.0000 (multiplicity 4)
Mn 0.0000 0.0000 0.5000 (multiplicity 4)
Ni 0.2500 0.2500 0.2500 (multiplicity 8)

M_tot, μB/atom: 1.068
E_tot, eV/f.u.: -30.1
Theoretical density, g/cm³: 7.50